A plane-wave DFT calculation with PBE was carried out for a relaxed Er8Si3Te4H crystal.

Output
electronic total energy	-5.25	eV/atom

Geometry as POSCAR:
```
Er8Si3Te4H
1.0
-1.273 0.685 -8.141
-7.760 -3.189 0.945
2.216 6.634 4.411
Te Er Si H
4 8 3 1
direct
0.000 0.000 0.000
0.500 0.000 0.500
0.000 0.000 0.500
0.500 0.000 0.000
0.268 0.282 0.025
0.243 0.718 0.486
0.757 0.282 0.025
0.732 0.718 0.975
0.261 0.283 0.522
0.739 0.717 0.478
0.243 0.718 0.975
0.757 0.282 0.514
0.500 0.500 0.500
0.000 0.500 0.500
0.500 0.500 0.000
0.000 0.500 0.000
```



A plane-wave DFT calculation with PBE was carried out for a relaxed BeTe2 crystal.

Output
E_form (uncorrected)	1.18	eV per atom

Geometry as POSCAR:
```
BeTe2
1.0
0.000 4.452 4.452
4.452 0.000 4.452
4.452 4.452 0.000
Te Be
4 2
direct
0.125 0.125 0.125
0.125 0.625 0.125
0.125 0.125 0.625
0.625 0.125 0.125
0.750 0.750 0.750
0.500 0.500 0.500
```



A plane-wave DFT calculation with PBE was carried out for a relaxed Tb2Ge3IrPt4 crystal.

Output
formation energy	-0.754	eV/atom

Geometry as POSCAR:
```
Tb2Ge3IrPt4
1.0
4.013 0.000 0.000
0.000 4.013 0.000
0.000 0.000 11.559
Tb Ge Pt Ir
2 3 4 1
direct
0.500 0.000 0.259
0.000 0.500 0.741
0.000 0.000 0.500
0.500 0.000 0.866
0.000 0.500 0.134
0.500 0.500 0.000
0.000 0.000 0.000
0.000 0.500 0.341
0.500 0.000 0.659
0.500 0.500 0.500
```



A plane-wave DFT calculation with PBE was carried out for a relaxed RbY2CdAs crystal.

Output
formation energy	1.440	eV/atom

Geometry as POSCAR:
```
RbY2CdAs
1.0
5.729 0.000 0.000
0.000 5.443 0.000
0.000 0.000 5.729
Rb Y Cd As
1 2 1 1
direct
0.000 0.000 0.000
0.500 0.000 0.000
0.000 0.000 0.500
0.000 0.500 0.000
0.500 0.500 0.500
```